1.
CoAg3Ir | the Alexandria database | GGA-PBE | relaxed; density of states at the Fermi level = 1.650 states/eV/atom; VASP energy = -3.37 eV/atom; energy above the most stable polymorph in this dataset = 0.00 eV/f.u.; ΔE_f = 147.9 kJ/mol of atoms; symmetry = Pm-3m, No. 221; calculated volume = 19.89 Å³ per atom
1.0
-1.0560 -4.3533 -1.1821
2.1624 -1.5540 3.7911
-3.9588 0.3124 2.3861
Co Ag Ir
1 3 1
direct
0.0000 0.0000 0.0000 Co
0.0000 0.0000 0.5000 Ag
0.0000 0.5000 0.0000 Ag
0.5000 0.0000 0.0000 Ag
0.5000 0.5000 0.5000 Ir

---

2.
CoAgIr4 | the Alexandria database | GGA-PBE | relaxed; density of states at the Fermi level = 1.542 states/eV/atom; VASP energy = -6.94 eV/atom; ΔE_f = 60.8 kJ/mol of atoms; symmetry = F-43m, No. 216; calculated volume = 16.32 Å³ per atom
1.0
0.0000 3.6582 3.6582
3.6582 0.0000 3.6582
3.6582 3.6582 0.0000
Co Ir Ag
1 4 1
direct
0.0000 0.0000 0.0000 Co
0.3748 0.3748 0.3748 Ir
0.3748 0.3748 0.8757 Ir
0.3748 0.8757 0.3748 Ir
0.8757 0.3748 0.3748 Ir
0.7500 0.7500 0.7500 Ag

---

3.
CoAgIr2 | the Alexandria database | GGA-PBE | relaxed; density of states at the Fermi level = 1.479 states/eV/atom; VASP energy = -6.65 eV/atom; energy above the most stable polymorph in this dataset = 0.31 eV/f.u.; ΔE_f = 26.4 kJ/mol of atoms; symmetry = C2/m, No. 12; calculated volume = 14.54 Å³ per atom
1.0
-4.6009 -0.6488 1.4764
-3.0858 -2.4180 2.8982
-0.3022 2.7688 3.7676
Co Ag Ir
1 1 2
direct
0.7500 0.7500 0.7500 Co
0.2500 0.2500 0.2500 Ag
0.4822 0.4822 0.5183 Ir
0.0178 0.0178 0.9817 Ir

---

4.
CoAg2Ir | the Alexandria database | GGA-PBE | relaxed; density of states at the Fermi level = 1.236 states/eV/atom; VASP energy = -4.95 eV/atom; energy above the most stable polymorph in this dataset = 0.94 eV/f.u.; ΔE_f = 45.0 kJ/mol of atoms; symmetry = Cmmm, No. 65; calculated volume = 15.53 Å³ per atom
1.0
-1.8932 1.7247 -0.8913
0.9360 -1.8747 -1.7212
-6.8573 -6.0496 2.8598
Ag Co Ir
2 1 1
direct
0.0000 0.0000 0.4906 Ag
0.0000 0.0000 0.0094 Ag
0.5000 0.5000 0.2500 Co
0.5000 0.5000 0.7500 Ir

---

5.
CoAgIr2 | the Alexandria database | GGA-PBE | relaxed; density of states at the Fermi level = 1.721 states/eV/atom; VASP energy = -6.46 eV/atom; energy above the most stable polymorph in this dataset = 1.04 eV/f.u.; ΔE_f = 44.0 kJ/mol of atoms; symmetry = I4/mmm, No. 139; calculated volume = 14.44 Å³ per atom
1.0
4.7974 0.0752 0.0000
1.6943 4.4888 0.0000
-3.2458 -2.2820 2.6976
Co Ir Ag
1 2 1
direct
0.7500 0.2500 0.5000 Co
0.5000 0.5000 0.0000 Ir
0.0000 0.0000 0.0000 Ir
0.2500 0.7500 0.5000 Ag

---

6.
CoAg2Ir | the Alexandria database | GGA-PBE | relaxed; density of states at the Fermi level = 1.301 states/eV/atom; VASP energy = -4.78 eV/atom; energy above the most stable polymorph in this dataset = 1.62 eV/f.u.; ΔE_f = 61.4 kJ/mol of atoms; symmetry = P4/mmm, No. 123; calculated volume = 15.51 Å³ per atom
1.0
-1.1612 -1.6361 -4.1792
0.5993 -4.3347 1.5305
-2.7696 -0.0977 0.8078
Ag Ir Co
2 1 1
direct
0.0000 0.0000 0.0000 Ag
0.5000 0.5000 0.0000 Ag
0.0000 0.5000 0.5000 Ir
0.5000 0.0000 0.5000 Co

---

7.
CoAg2Ir | the Alexandria database | GGA-PBE | relaxed; density of states at the Fermi level = 1.011 states/eV/atom; VASP energy = -4.97 eV/atom; energy above the most stable polymorph in this dataset = 0.87 eV/f.u.; ΔE_f = 43.3 kJ/mol of atoms; symmetry = Pmmm, No. 47; calculated volume = 15.43 Å³ per atom
1.0
2.7942 0.0000 0.0000
0.0000 4.5884 0.0000
0.0000 0.0000 4.8140
Ag Ir Co
2 1 1
direct
0.0000 0.0000 0.0000 Ag
0.5000 0.5000 0.0000 Ag
0.0000 0.5000 0.5000 Ir
0.5000 0.0000 0.5000 Co

---

8.
CoAgIr2 | the Alexandria database | GGA-PBE | relaxed; density of states at the Fermi level = 1.264 states/eV/atom; VASP energy = -6.59 eV/atom; energy above the most stable polymorph in this dataset = 0.52 eV/f.u.; ΔE_f = 31.4 kJ/mol of atoms; symmetry = Cmmm, No. 65; calculated volume = 14.87 Å³ per atom
1.0
-1.7591 -0.7684 -1.9029
-0.7650 -0.1221 2.5895
-3.2069 8.6745 -0.5383
Ag Ir Co
1 2 1
direct
0.5000 0.5000 0.2500 Ag
0.0000 0.0000 0.9779 Ir
0.0000 0.0000 0.5221 Ir
0.5000 0.5000 0.7500 Co

---

9.
CoAg2Ir | the Alexandria database | GGA-PBE | relaxed; density of states at the Fermi level = 1.427 states/eV/atom; VASP energy = -5.18 eV/atom; energy above the most stable polymorph in this dataset = 0.04 eV/f.u.; ΔE_f = 23.4 kJ/mol of atoms; symmetry = R3m, No. 160; calculated volume = 15.35 Å³ per atom
1.0
-4.8973 6.3773 -4.8120
-6.2561 4.1078 -5.6387
-6.9595 5.3572 -3.2671
Ag Co Ir
2 1 1
direct
0.2444 0.2444 0.2444 Ag
0.0021 0.0021 0.0021 Ag
0.4955 0.4955 0.4955 Co
0.7580 0.7580 0.7580 Ir

---

10.
CoAgIr2 | the Alexandria database | GGA-PBE | relaxed; density of states at the Fermi level = 1.496 states/eV/atom; VASP energy = -6.50 eV/atom; energy above the most stable polymorph in this dataset = 0.88 eV/f.u.; ΔE_f = 40.2 kJ/mol of atoms; symmetry = I-4m2, No. 119; calculated volume = 14.33 Å³ per atom
1.0
-2.6772 -2.3330 -3.0977
-2.7823 -3.0115 2.3228
0.8092 4.6044 0.5920
Ir Co Ag
2 1 1
direct
0.0000 0.0000 0.0000 Ir
0.2500 0.7500 0.5000 Ir
0.7500 0.2500 0.5000 Co
0.5000 0.5000 0.0000 Ag

---

11.
CoAgIr3 | the Alexandria database | GGA-PBE | relaxed; density of states at the Fermi level = 1.033 states/eV/atom; VASP energy = -5.89 eV/atom; energy above the most stable polymorph in this dataset = 0.00 eV/f.u.; ΔE_f = 136.9 kJ/mol of atoms; symmetry = Pm-3m, No. 221; calculated volume = 17.92 Å³ per atom
1.0
-3.7235 0.9178 -2.3054
-1.8577 -3.7871 1.4927
-1.6450 2.1993 3.5325
Ir Co Ag
3 1 1
direct
0.5000 0.0000 0.0000 Ir
0.0000 0.5000 0.0000 Ir
0.0000 0.0000 0.5000 Ir
0.0000 0.0000 0.0000 Co
0.5000 0.5000 0.5000 Ag

---

12.
CoAgIr2 | the Alexandria database | GGA-PBE | relaxed; density of states at the Fermi level = 1.564 states/eV/atom; VASP energy = -6.20 eV/atom; energy above the most stable polymorph in this dataset = 2.10 eV/f.u.; ΔE_f = 69.7 kJ/mol of atoms; symmetry = I-42d, No. 122; calculated volume = 16.04 Å³ per atom
1.0
-6.3541 -1.7847 -2.7380
2.7837 0.1813 -6.5783
-1.1827 -3.2350 -4.4703
Co Ir Ag
2 4 2
direct
0.2500 0.7500 0.5000 Co
0.5000 0.5000 0.0000 Co
0.1774 0.6250 0.2500 Ir
0.8750 0.8226 0.7500 Ir
0.5726 0.1250 0.2500 Ir
0.3750 0.4274 0.7500 Ir
0.0000 0.0000 0.0000 Ag
0.7500 0.2500 0.5000 Ag